{
  "formula": "BeCu2Mo",
  "functional": "SCAN",
  "state": "single point on PBEsol structure",
  "lattice_angstrom": [[-1.3167, -1.7995, 1.1874], [2.7820, -3.0344, -1.5137], [1.7099, 2.9227, 3.6383]],
  "species": ["Be", "Cu", "Cu", "Mo"],
  "fractional_positions": [[0.2672, 0.7672, 0.5344], [0.7368, 0.2368, 0.4736], [0.9819, 0.9819, 0.9638], [0.5141, 0.5141, 0.0282]],
  "density_g_cm3": 8.13,
  "final_energy_ry_per_atom": -1.2627
}

=====

{
  "formula": "ReW2Cl",
  "functional": "SCAN",
  "state": "single point on PBEsol structure",
  "lattice_angstrom": [[-2.6201, 0.3393, -1.1000], [-0.5132, -0.7096, -2.7245], [-3.2251, -8.2360, 1.1352]],
  "species": ["W", "W", "Cl", "Re"],
  "fractional_positions": [[0.7530, 0.7530, 0.7386], [0.9997, 0.9997, 0.0022], [0.5018, 0.5018, 0.5196], [0.2456, 0.2456, 0.2396]],
  "density_g_cm3": 15.80,
  "polymorph_energy_mev_per_atom": 0
}

=====

{
  "formula": "KLaP2",
  "functional": "SCAN",
  "state": "single point on PBEsol structure",
  "lattice_angstrom": [[-3.7157, 3.3961, 0.9200], [-4.6142, -0.6175, -2.1247], [-4.0014, -1.3104, 2.9083]],
  "species": ["P", "P", "K", "La"],
  "fractional_positions": [[0.7500, 0.7500, 0.7500], [0.2500, 0.2500, 0.2500], [0.0000, 0.0000, 0.0000], [0.5000, 0.5000, 0.5000]],
  "density_g_cm3": 4.21,
  "final_energy_ry_per_atom": -1.3691
}

=====

{
  "formula": "CaAl2Cd",
  "functional": "SCAN",
  "state": "single point on PBEsol structure",
  "lattice_angstrom": [[3.2255, 0.0000, 0.0000], [-1.6127, 4.7692, -0.0121], [0.0000, -1.1681, 5.7176]],
  "species": ["Ca", "Cd", "Al", "Al"],
  "fractional_positions": [[0.0000, 0.0000, 0.5000], [0.5000, 0.0000, 0.0000], [0.7602, 0.5204, 0.7968], [0.2398, 0.4796, 0.2032]],
  "density_g_cm3": 3.90,
  "final_energy_ry_per_atom": -1.0223
}

=====

{
  "formula": "SiAgAu",
  "functional": "SCAN",
  "state": "single point on PBEsol structure",
  "lattice_angstrom": [[-2.5428, 1.0889, -1.1612], [-1.7262, 0.2268, 3.9928], [2.1942, 3.3961, -1.6202]],
  "species": ["Ag", "Au", "Si"],
  "fractional_positions": [[0.0000, 0.0000, 0.0000], [0.5000, 0.3333, 0.6667], [0.5000, 0.6667, 0.3333]],
  "density_g_cm3": 11.22,
  "final_energy_ry_per_atom": -2.7006
}

=====

{
  "formula": "Cr2FeRe",
  "functional": "SCAN",
  "state": "single point on PBEsol structure",
  "lattice_angstrom": [[2.5538, 0.0000, 0.0000], [0.0000, 2.5538, 0.0000], [0.0000, 0.0000, 7.3053]],
  "species": ["Fe", "Cr", "Cr", "Re"],
  "fractional_positions": [[0.0000, 0.0000, 0.4838], [0.0000, 0.0000, 0.0155], [0.5000, 0.5000, 0.2649], [0.5000, 0.5000, 0.7358]],
  "density_g_cm3": 12.06,
  "polymorph_energy_mev_per_atom": 278
}

=====

{
  "formula": "ZnAsOsBr2",
  "functional": "SCAN",
  "state": "single point on PBEsol structure",
  "lattice_angstrom": [[-4.2920, 1.4549, -0.9468], [-1.5461, -1.5156, 4.6798], [1.1607, 4.6546, 1.8909]],
  "species": ["Zn", "Os", "As", "Br", "Br"],
  "fractional_positions": [[0.5000, 0.5000, 0.5000], [0.0000, 0.0000, 0.0000], [0.5000, 0.0000, 0.0000], [0.0000, 0.5000, 0.0000], [0.0000, 0.0000, 0.5000]],
  "density_g_cm3": 6.62,
  "final_energy_ry_per_atom": -2.0799
}

=====

{
  "formula": "CuOs2RhCl",
  "functional": "SCAN",
  "state": "single point on PBEsol structure",
  "lattice_angstrom": [[-1.0910, -4.2338, 1.1349], [3.3523, -1.5594, -2.5949], [2.8506, 0.2175, 3.5518]],
  "species": ["Os", "Os", "Rh", "Cl", "Cu"],
  "fractional_positions": [[0.0000, 0.5000, 0.0000], [0.5000, 0.0000, 0.0000], [0.0000, 0.0000, 0.5000], [0.5000, 0.5000, 0.5000], [0.0000, 0.0000, 0.0000]],
  "density_g_cm3": 10.40,
  "final_energy_ry_per_atom": -2.7856
}

=====

{
  "formula": "Sc2HgTeIr",
  "functional": "SCAN",
  "state": "single point on PBEsol structure",
  "lattice_angstrom": [[-0.1602, 4.9020, -0.5241], [-5.1008, -0.1403, 0.2471], [0.2306, 0.5500, 5.0738]],
  "species": ["Ir", "Sc", "Sc", "Hg", "Te"],
  "fractional_positions": [[0.5000, 0.0000, 0.0000], [0.0000, 0.5000, 0.0000], [0.0000, 0.0000, 0.5000], [0.0000, 0.0000, 0.0000], [0.5000, 0.5000, 0.5000]],
  "density_g_cm3": 7.87,
  "final_energy_ry_per_atom": -2.9791
}

=====

{
  "formula": "InW3",
  "functional": "SCAN",
  "state": "single point on PBEsol structure",
  "lattice_angstrom": [[2.7663, 0.0000, 0.0000], [-0.9221, 5.2529, 0.0000], [-0.9221, -2.6265, 4.5492]],
  "species": ["W", "W", "W", "In"],
  "fractional_positions": [[0.5000, 0.0000, 0.5000], [0.5000, 0.5000, 0.0000], [0.0000, 0.5000, 0.5000], [0.0000, 0.0000, 0.0000]],
  "density_g_cm3": 16.74,
  "final_energy_ry_per_atom": -4.4167
}

=====

{
  "formula": "ZrBe2Pd2",
  "functional": "SCAN",
  "state": "single point on PBEsol structure",
  "lattice_angstrom": [[2.7448, 0.0000, 0.0000], [0.0000, 6.9296, 0.0000], [0.0000, 0.0000, 6.9296]],
  "species": ["Be", "Be", "Be", "Be", "Pd", "Pd", "Pd", "Pd", "Zr", "Zr"],
  "fractional_positions": [[0.0000, 0.3861, 0.8861], [0.0000, 0.6139, 0.1139], [0.0000, 0.1139, 0.3861], [0.0000, 0.8861, 0.6139], [0.5000, 0.8242, 0.3242], [0.5000, 0.1758, 0.6758], [0.5000, 0.6758, 0.8242], [0.5000, 0.3242, 0.1758], [0.0000, 0.5000, 0.5000], [0.0000, 0.0000, 0.0000]],
  "density_g_cm3": 8.12,
  "final_energy_ry_per_atom": -1.5844
}

=====

{
  "formula": "CaMnCl2",
  "functional": "SCAN",
  "state": "single point on PBEsol structure",
  "lattice_angstrom": [[-2.2400, 1.0488, 4.3630], [1.9237, -1.7461, 4.2900], [2.1724, 3.1519, 3.2403]],
  "species": ["Cl", "Cl", "Ca", "Mn"],
  "fractional_positions": [[0.0000, 0.0000, 0.0000], [0.2500, 0.2500, 0.2500], [0.5000, 0.5000, 0.5000], [0.7500, 0.7500, 0.7500]],
  "density_g_cm3": 3.09,
  "polymorph_energy_mev_per_atom": 704
}